# 1
A plane-wave DFT calculation with GGA-PBE was carried out for a geometry-optimized Pm3Sm2Ge4 structure.

The structure in POSCAR format:
```
Pm3Sm2Ge4
1.0
7.746 -1.085 0.000
-3.583 8.126 0.000
0.000 0.000 7.992
Pm Sm Ge
6 4 8
Direct
0.000 0.500 0.500
0.500 0.500 0.000
0.640 0.203 0.820
0.860 0.797 0.320
0.360 0.797 0.180
0.140 0.203 0.680
0.511 0.233 0.337
0.989 0.767 0.837
0.489 0.767 0.663
0.011 0.233 0.163
0.768 0.089 0.467
0.732 0.911 0.967
0.232 0.911 0.533
0.268 0.089 0.033
0.883 0.507 0.127
0.617 0.493 0.627
0.117 0.493 0.873
0.383 0.507 0.373
```

Summary:
The calculation puts the magnetic moment at 0.0 μB per formula unit. The energy of formation is -79.86 kJ/mol of atoms. For the total energy, the calculation gives -5.51 eV/atom. The energy above the most stable polymorph in this dataset comes out at 0.0000 eV/atom. As for the space group: P2_1/c (14).

***

# 2
A plane-wave DFT calculation with GGA-PBE was carried out for a geometry-optimized CdCu2Cl structure.

The structure in POSCAR format:
```
CdCu2Cl
1.0
3.227 -0.018 0.000
-1.716 2.734 0.000
0.000 0.000 8.084
Cl Cu Cd
1 2 1
Direct
0.500 0.500 0.750
0.000 0.000 0.983
0.000 0.000 0.517
0.500 0.500 0.250
```

Summary:
The calculation puts the magnetic moment at 0.0 μB per formula unit. For the total energy, the calculation gives -2.65 eV/atom. The energy above the most stable polymorph in this dataset comes out at 0.1435 eV/atom. For the raw formation energy, the calculation gives 87.5 meV/atom. As for the space group: Cmmm (65).

***

# 3
A plane-wave DFT calculation with GGA-PBE was carried out for a geometry-optimized Sm3Tm4Cd4 structure.

The structure in POSCAR format:
```
Sm3Tm4Cd4
1.0
-1.055 4.290 -2.888
-4.292 -3.896 -4.220
-3.857 1.570 8.564
Sm Tm Cd
3 4 4
Direct
0.107 0.107 0.213
0.893 0.893 0.787
0.000 0.500 0.000
0.319 0.086 0.638
0.681 0.448 0.362
0.681 0.914 0.362
0.319 0.552 0.638
0.184 0.684 0.367
0.816 0.316 0.633
0.500 0.796 0.000
0.500 0.204 0.000
```

Summary:
The calculation puts the magnetic moment at 0.0 μB per formula unit. The energy of formation is -10.99 kJ/mol of atoms. For the total energy, the calculation gives -3.36 eV/atom. As for the space group: Immm (71).

***

# 4
A plane-wave DFT calculation with GGA-PBE was carried out for a geometry-optimized KYTi2 structure.

The structure in POSCAR format:
```
KYTi2
1.0
-4.156 -2.610 2.254
-2.127 1.797 4.627
-4.910 2.249 0.021
Y K Ti
1 1 2
Direct
0.500 0.500 0.500
0.000 0.000 0.000
0.250 0.250 0.250
0.750 0.750 0.750
```

Summary:
The calculation puts the magnetic moment at 4.4 μB per formula unit. The energy of formation is 109.55 kJ/mol of atoms. For the total energy, the calculation gives -4.70 eV/atom. The energy above the most stable polymorph in this dataset comes out at 0.0000 eV/atom. As for the space group: Fm-3m (225).

***

# 5
A plane-wave DFT calculation with GGA-PBE was carried out for a geometry-optimized CdH2F6 structure.

The structure in POSCAR format:
```
CdH2F6
1.0
-1.496 2.533 1.610
-3.454 -3.867 -0.618
4.731 -1.047 6.043
Cd H F
1 2 6
Direct
0.000 0.000 0.500
0.816 0.633 0.698
0.184 0.367 0.302
0.928 0.856 0.747
0.736 0.472 0.017
0.264 0.528 0.983
0.662 0.325 0.615
0.338 0.675 0.385
0.072 0.144 0.253
```

Summary:
The calculation puts the magnetic moment at 0.0 μB per formula unit. For the total energy, the calculation gives -3.48 eV/atom. The energy above the most stable polymorph in this dataset comes out at 0.0611 eV/atom. As for the space group: C2/m (12).

***

# 6
A plane-wave DFT calculation with GGA-PBE was carried out for a geometry-optimized CaMg2Al structure.

The structure in POSCAR format:
```
CaMg2Al
1.0
-3.032 -2.997 4.238
1.790 -6.793 -3.524
14.324 -1.128 9.450
Ca Mg Al
8 16 8
Direct
0.469 0.250 0.142
0.969 0.750 0.358
0.531 0.750 0.858
0.031 0.250 0.642
0.736 0.250 0.395
0.236 0.750 0.105
0.264 0.750 0.605
0.764 0.250 0.895
0.958 0.058 0.214
0.458 0.942 0.286
0.042 0.558 0.786
0.542 0.442 0.714
0.042 0.942 0.786
0.542 0.058 0.714
0.958 0.442 0.214
0.458 0.558 0.286
0.741 0.557 0.034
0.241 0.443 0.466
0.259 0.057 0.966
0.759 0.943 0.534
0.259 0.443 0.966
0.759 0.557 0.534
0.741 0.943 0.034
0.241 0.057 0.466
0.226 0.250 0.321
0.726 0.750 0.179
0.774 0.750 0.679
0.274 0.250 0.821
0.976 0.250 0.071
0.476 0.750 0.429
0.024 0.750 0.929
0.524 0.250 0.571
```

Summary:
The calculation puts the magnetic moment at 0.0 μB per formula unit. The energy of formation is -12.30 kJ/mol of atoms. For the total energy, the calculation gives -2.36 eV/atom. As for the space group: Pnma (62).

***

# 7
A plane-wave DFT calculation with GGA-PBE was carried out for a geometry-optimized HfTc2PtF structure.

The structure in POSCAR format:
```
HfTc2PtF
1.0
-0.512 4.802 0.706
-0.652 0.495 -3.840
-4.786 -0.618 0.733
Hf Tc Pt F
1 2 1 1
Direct
0.000 0.000 0.000
0.000 0.000 0.500
0.500 0.000 0.000
0.500 0.500 0.500
0.000 0.500 0.000
```

Summary:
The calculation puts the magnetic moment at 2.9 μB per formula unit. For the total energy, the calculation gives -7.19 eV/atom. For the raw formation energy, the calculation gives 530.1 meV/atom. As for the space group: P4/mmm (123).

***

# 8
A plane-wave DFT calculation with GGA-PBE was carried out for a geometry-optimized SiRuBr2 structure.

The structure in POSCAR format:
```
SiRuBr2
1.0
6.211 0.000 0.000
0.000 6.211 0.000
3.105 3.105 5.625
Ru Si Br
2 2 4
Direct
0.000 0.000 0.000
0.750 0.250 0.500
0.500 0.500 0.000
0.250 0.750 0.500
0.670 0.125 0.250
0.080 0.625 0.250
0.375 0.330 0.750
0.875 0.920 0.750
```

Summary:
The calculation puts the magnetic moment at 0.0 μB per formula unit. For the total energy, the calculation gives -3.56 eV/atom. The energy above the most stable polymorph in this dataset comes out at 1.0345 eV/atom. For the raw formation energy, the calculation gives 948.3 meV/atom. As for the space group: I-42d (122).

***

# 9
A plane-wave DFT calculation with GGA-PBE was carried out for a geometry-optimized Cd5Sn4Hg3 structure.

The structure in POSCAR format:
```
Cd5Sn4Hg3
1.0
-6.032 1.722 1.078
2.712 -5.393 5.770
-1.897 6.451 3.428
Cd Sn Hg
5 4 3
Direct
0.828 0.664 0.671
0.500 0.000 0.500
0.339 0.639 0.647
0.661 0.361 0.353
0.172 0.336 0.329
0.271 0.309 0.849
0.739 0.021 0.014
0.261 0.979 0.986
0.729 0.691 0.151
0.202 0.656 0.177
0.000 0.000 0.500
0.798 0.344 0.823
```

Summary:
The calculation puts the magnetic moment at 0.0 μB per formula unit. The energy of formation is 5.86 kJ/mol of atoms. For the total energy, the calculation gives -1.73 eV/atom. As for the space group: P-1 (2).

***

# 10
A plane-wave DFT calculation with GGA-PBE was carried out for a geometry-optimized Y2MoPt structure.

The structure in POSCAR format:
```
Y2MoPt
1.0
-1.348 -2.218 3.299
3.685 0.500 1.843
0.060 4.804 3.254
Mo Pt Y
1 1 2
Direct
0.000 0.690 0.496
0.500 0.557 0.761
0.000 0.976 0.923
0.500 0.277 0.320
```

Summary:
The calculation puts the magnetic moment at 0.0 μB per formula unit. The energy of formation is -29.06 kJ/mol of atoms. For the total energy, the calculation gives -7.75 eV/atom. The energy above the most stable polymorph in this dataset comes out at 0.0145 eV/atom. As for the space group: Amm2 (38).

***

# 11
A plane-wave DFT calculation with GGA-PBE was carried out for a geometry-optimized Nd4Y2MgSc structure.

The structure in POSCAR format:
```
Nd4Y2MgSc
1.0
-0.494 1.503 4.793
4.994 -0.361 0.628
6.039 9.056 -2.218
Nd Y Mg Sc
4 2 1 1
Direct
0.000 0.751 0.749
0.000 0.249 0.251
0.500 0.748 0.251
0.500 0.252 0.749
0.000 0.000 0.000
0.500 0.000 0.500
0.500 0.500 0.000
0.000 0.500 0.500
```

Summary:
The calculation puts the magnetic moment at 0.0 μB per formula unit. The energy of formation is 1.83 kJ/mol of atoms. For the total energy, the calculation gives -4.97 eV/atom. As for the space group: P2/m (10).

***

# 12
A plane-wave DFT calculation with GGA-PBE was carried out for a geometry-optimized PrMg2Zn9 structure.

The structure in POSCAR format:
```
PrMg2Zn9
1.0
3.064 0.000 0.000
0.000 9.116 0.000
0.000 -4.558 7.895
Pr Mg Zn
1 2 9
Direct
0.000 0.000 0.000
0.000 0.667 0.333
0.000 0.333 0.667
0.500 0.820 0.180
0.000 0.000 0.500
0.000 0.500 0.500
0.500 0.820 0.641
0.500 0.180 0.820
0.500 0.641 0.820
0.500 0.180 0.359
0.000 0.500 0.000
0.500 0.359 0.180
```

Summary:
The calculation puts the magnetic moment at 0.0 μB per formula unit. The energy of formation is -0.49 kJ/mol of atoms. For the total energy, the calculation gives -1.62 eV/atom. The energy above the most stable polymorph in this dataset comes out at 0.1949 eV/atom. As for the space group: P6/mmm (191).